<i>
This record from Alexandria via LeMat-Bulk describes a geometry-optimized Cu2ReOs structure. The functional is PBE.

Geometry as CIF:
```
data_Cu2ReOs
_chemical_formula_sum 'Cu2 Re1 Os1'
_cell_length_a 4.253
_cell_length_b 4.253
_cell_length_c 4.253
_cell_angle_alpha 60.00
_cell_angle_beta 60.00
_cell_angle_gamma 60.00
_space_group_name_H-M_alt 'P 1'
_space_group_IT_number 1
loop_
_space_group_symop_operation_xyz
'x,y,z'
loop_
_atom_site_label
_atom_site_type_symbol
_atom_site_fract_x
_atom_site_fract_y
_atom_site_fract_z
_atom_site_occupancy
Cu1 Cu 0.000 0.000 0.000 1
Cu2 Cu 0.250 0.250 0.250 1
Re1 Re 0.750 0.750 0.750 1
Os1 Os 0.500 0.500 0.500 1
```

---

<ii>
This record from Alexandria via LeMat-Bulk describes a geometry-optimized Cu2ReOs structure. The functional is PBE.

Geometry as CIF:
```
data_Cu2ReOs
_chemical_formula_sum 'Cu2 Re1 Os1'
_cell_length_a 8.896
_cell_length_b 8.896
_cell_length_c 8.896
_cell_angle_alpha 17.33
_cell_angle_beta 17.33
_cell_angle_gamma 17.33
_space_group_name_H-M_alt 'P 1'
_space_group_IT_number 1
loop_
_space_group_symop_operation_xyz
'x,y,z'
loop_
_atom_site_label
_atom_site_type_symbol
_atom_site_fract_x
_atom_site_fract_y
_atom_site_fract_z
_atom_site_occupancy
Cu1 Cu 0.250 0.250 0.250 1
Cu2 Cu 0.750 0.750 0.750 1
Re1 Re 0.000 0.000 0.000 1
Os1 Os 0.500 0.500 0.500 1
```

---

<iii>
This record from Alexandria via LeMat-Bulk describes a geometry-optimized Cu2ReOs structure. The functional is PBE.

Geometry as CIF:
```
data_Cu2ReOs
_chemical_formula_sum 'Cu2 Re1 Os1'
_cell_length_a 2.652
_cell_length_b 2.652
_cell_length_c 8.841
_cell_angle_alpha 90.00
_cell_angle_beta 90.00
_cell_angle_gamma 116.05
_space_group_name_H-M_alt 'P 1'
_space_group_IT_number 1
loop_
_space_group_symop_operation_xyz
'x,y,z'
loop_
_atom_site_label
_atom_site_type_symbol
_atom_site_fract_x
_atom_site_fract_y
_atom_site_fract_z
_atom_site_occupancy
Cu1 Cu 0.000 0.000 0.000 1
Cu2 Cu 0.500 0.500 0.233 1
Re1 Re 0.500 0.500 0.742 1
Os1 Os 0.000 0.000 0.491 1
```

---

Most stable: <ii>

---

<i>
This record from Alexandria via LeMat-Bulk describes a geometry-optimized Cu2ReOs structure. The functional is PBE.

Geometry as CIF:
```
data_Cu2ReOs
_chemical_formula_sum 'Cu4 Re2 Os2'
_cell_length_a 5.430
_cell_length_b 5.430
_cell_length_c 5.430
_cell_angle_alpha 102.52
_cell_angle_beta 102.52
_cell_angle_gamma 124.50
_space_group_name_H-M_alt 'P 1'
_space_group_IT_number 1
loop_
_space_group_symop_operation_xyz
'x,y,z'
loop_
_atom_site_label
_atom_site_type_symbol
_atom_site_fract_x
_atom_site_fract_y
_atom_site_fract_z
_atom_site_occupancy
Cu1 Cu 0.124 0.125 0.499 1
Cu2 Cu 0.375 0.876 0.001 1
Cu3 Cu 0.626 0.625 0.501 1
Cu4 Cu 0.875 0.374 0.999 1
Re1 Re 0.250 0.750 0.500 1
Re2 Re 0.500 0.500 0.000 1
Os1 Os 0.000 0.000 0.000 1
Os2 Os 0.750 0.250 0.500 1
```

---

<ii>
This record from Alexandria via LeMat-Bulk describes a geometry-optimized Cu2ReOs structure. The functional is PBE.

Geometry as CIF:
```
data_Cu2ReOs
_chemical_formula_sum 'Cu2 Re1 Os1'
_cell_length_a 2.785
_cell_length_b 4.423
_cell_length_c 4.484
_cell_angle_alpha 90.00
_cell_angle_beta 90.00
_cell_angle_gamma 90.00
_space_group_name_H-M_alt 'P 1'
_space_group_IT_number 1
loop_
_space_group_symop_operation_xyz
'x,y,z'
loop_
_atom_site_label
_atom_site_type_symbol
_atom_site_fract_x
_atom_site_fract_y
_atom_site_fract_z
_atom_site_occupancy
Cu1 Cu 0.000 0.000 0.000 1
Cu2 Cu 0.500 0.500 0.000 1
Re1 Re 0.000 0.500 0.500 1
Os1 Os 0.500 0.000 0.500 1
```

---

<iii>
This record from Alexandria via LeMat-Bulk describes a geometry-optimized Cu2ReOs structure. The functional is PBE.

Geometry as CIF:
```
data_Cu2ReOs
_chemical_formula_sum 'Cu2 Re1 Os1'
_cell_length_a 4.294
_cell_length_b 4.294
_cell_length_c 2.854
_cell_angle_alpha 90.00
_cell_angle_beta 90.00
_cell_angle_gamma 90.00
_space_group_name_H-M_alt 'P 1'
_space_group_IT_number 1
loop_
_space_group_symop_operation_xyz
'x,y,z'
loop_
_atom_site_label
_atom_site_type_symbol
_atom_site_fract_x
_atom_site_fract_y
_atom_site_fract_z
_atom_site_occupancy
Cu1 Cu 0.000 0.500 0.000 1
Cu2 Cu 0.500 0.000 0.000 1
Re1 Re 0.000 0.000 0.500 1
Os1 Os 0.500 0.500 0.500 1
```

---

Most stable: <ii>

---

<i>
This record from Alexandria via LeMat-Bulk describes a geometry-optimized Cu2OsRh structure. The functional is PBE.

Geometry as CIF:
```
data_Cu2OsRh
_chemical_formula_sum 'Cu2 Os1 Rh1'
_cell_length_a 2.720
_cell_length_b 2.720
_cell_length_c 7.167
_cell_angle_alpha 90.00
_cell_angle_beta 90.00
_cell_angle_gamma 90.00
_space_group_name_H-M_alt 'P 1'
_space_group_IT_number 1
loop_
_space_group_symop_operation_xyz
'x,y,z'
loop_
_atom_site_label
_atom_site_type_symbol
_atom_site_fract_x
_atom_site_fract_y
_atom_site_fract_z
_atom_site_occupancy
Cu1 Cu 0.000 0.000 0.000 1
Cu2 Cu 0.500 0.500 0.229 1
Os1 Os 0.000 0.000 0.488 1
Rh1 Rh 0.500 0.500 0.739 1
```

---

<ii>
This record from Alexandria via LeMat-Bulk describes a geometry-optimized Cu2OsRh structure. The functional is PBE.

Geometry as CIF:
```
data_Cu2OsRh
_chemical_formula_sum 'Cu2 Os1 Rh1'
_cell_length_a 4.591
_cell_length_b 4.591
_cell_length_c 4.595
_cell_angle_alpha 98.61
_cell_angle_beta 98.61
_cell_angle_gamma 33.87
_space_group_name_H-M_alt 'P 1'
_space_group_IT_number 1
loop_
_space_group_symop_operation_xyz
'x,y,z'
loop_
_atom_site_label
_atom_site_type_symbol
_atom_site_fract_x
_atom_site_fract_y
_atom_site_fract_z
_atom_site_occupancy
Cu1 Cu 0.000 0.000 0.000 1
Cu2 Cu 0.250 0.250 0.795 1
Os1 Os 0.750 0.750 0.294 1
Rh1 Rh 0.497 0.497 0.496 1
```

---

Most stable: <i>

---

<i>
This record from Alexandria via LeMat-Bulk describes a geometry-optimized CuOs2Rh structure. The functional is PBE.

Geometry as CIF:
```
data_CuOs2Rh
_chemical_formula_sum 'Cu1 Os2 Rh1'
_cell_length_a 2.670
_cell_length_b 2.670
_cell_length_c 9.105
_cell_angle_alpha 90.00
_cell_angle_beta 90.00
_cell_angle_gamma 118.38
_space_group_name_H-M_alt 'P 1'
_space_group_IT_number 1
loop_
_space_group_symop_operation_xyz
'x,y,z'
loop_
_atom_site_label
_atom_site_type_symbol
_atom_site_fract_x
_atom_site_fract_y
_atom_site_fract_z
_atom_site_occupancy
Cu1 Cu 0.000 0.000 0.000 1
Os1 Os 0.000 0.000 0.499 1
Os2 Os 0.500 0.500 0.751 1
Rh1 Rh 0.500 0.500 0.244 1
```

---

<ii>
This record from Alexandria via LeMat-Bulk describes a geometry-optimized CuOs2Rh structure. The functional is PBE.

Geometry as CIF:
```
data_CuOs2Rh
_chemical_formula_sum 'Cu2 Os4 Rh2'
_cell_length_a 6.517
_cell_length_b 6.517
_cell_length_c 6.517
_cell_angle_alpha 129.07
_cell_angle_beta 129.07
_cell_angle_gamma 74.90
_space_group_name_H-M_alt 'P 1'
_space_group_IT_number 1
loop_
_space_group_symop_operation_xyz
'x,y,z'
loop_
_atom_site_label
_atom_site_type_symbol
_atom_site_fract_x
_atom_site_fract_y
_atom_site_fract_z
_atom_site_occupancy
Cu1 Cu 0.000 0.000 0.000 1
Cu2 Cu 0.750 0.250 0.500 1
Os1 Os 0.124 0.625 0.999 1
Os2 Os 0.375 0.374 0.499 1
Os3 Os 0.626 0.125 0.001 1
Os4 Os 0.875 0.876 0.501 1
Rh1 Rh 0.250 0.750 0.500 1
Rh2 Rh 0.500 0.500 0.000 1
```

---

<iii>
This record from Alexandria via LeMat-Bulk describes a geometry-optimized CuOs2Rh structure. The functional is PBE.

Geometry as CIF:
```
data_CuOs2Rh
_chemical_formula_sum 'Cu1 Os2 Rh1'
_cell_length_a 4.667
_cell_length_b 4.667
_cell_length_c 4.686
_cell_angle_alpha 99.11
_cell_angle_beta 99.11
_cell_angle_gamma 33.50
_space_group_name_H-M_alt 'P 1'
_space_group_IT_number 1
loop_
_space_group_symop_operation_xyz
'x,y,z'
loop_
_atom_site_label
_atom_site_type_symbol
_atom_site_fract_x
_atom_site_fract_y
_atom_site_fract_z
_atom_site_occupancy
Cu1 Cu 0.000 0.000 0.000 1
Os1 Os 0.502 0.502 0.489 1
Os2 Os 0.755 0.755 0.276 1
Rh1 Rh 0.247 0.247 0.777 1
```

---

Most stable: <iii>

---

<i>
This record from Alexandria via LeMat-Bulk describes a geometry-optimized CuOs2Rh structure. The functional is PBE.

Geometry as CIF:
```
data_CuOs2Rh
_chemical_formula_sum 'Cu1 Os2 Rh1'
_cell_length_a 2.746
_cell_length_b 4.504
_cell_length_c 4.576
_cell_angle_alpha 90.00
_cell_angle_beta 90.00
_cell_angle_gamma 90.00
_space_group_name_H-M_alt 'P 1'
_space_group_IT_number 1
loop_
_space_group_symop_operation_xyz
'x,y,z'
loop_
_atom_site_label
_atom_site_type_symbol
_atom_site_fract_x
_atom_site_fract_y
_atom_site_fract_z
_atom_site_occupancy
Cu1 Cu 0.000 0.000 0.000 1
Os1 Os 0.000 0.500 0.500 1
Os2 Os 0.500 0.000 0.500 1
Rh1 Rh 0.500 0.500 0.000 1
```

---

<ii>
This record from Alexandria via LeMat-Bulk describes a geometry-optimized CuOs2Rh structure. The functional is PBE.

Geometry as CIF:
```
data_CuOs2Rh
_chemical_formula_sum 'Cu1 Os2 Rh1'
_cell_length_a 2.739
_cell_length_b 2.739
_cell_length_c 7.373
_cell_angle_alpha 90.00
_cell_angle_beta 90.00
_cell_angle_gamma 90.00
_space_group_name_H-M_alt 'P 1'
_space_group_IT_number 1
loop_
_space_group_symop_operation_xyz
'x,y,z'
loop_
_atom_site_label
_atom_site_type_symbol
_atom_site_fract_x
_atom_site_fract_y
_atom_site_fract_z
_atom_site_occupancy
Cu1 Cu 0.000 0.000 0.000 1
Os1 Os 0.000 0.000 0.498 1
Os2 Os 0.500 0.500 0.250 1
Rh1 Rh 0.500 0.500 0.754 1
```

---

Most stable: <ii>